This record from the Alexandria database describes Li2LaAl2 at its PBEsol-relaxed geometry. The functional is SCAN.

Computed properties:
SG   I4/mmm
VASP energy   -64.17 eV/f.u.
Density   3.05 g cm⁻³
Energy of formation from the pure elements   -157 meV per atom

a b c (Å): 4.268 4.268 6.886
angles (deg): 108.05 108.05 90.00
Atoms (fractional coordinates):
Li (0.750, 0.250, 0.500)
La (0.000, 0.000, 0.000)
Al (0.396, 0.396, 0.792)
Al (0.604, 0.604, 0.208)
Li (0.250, 0.750, 0.500)